Entry 1:
# Sr2CdInIr

A relaxed structure of Sr2CdInIr (PBE, Alexandria via LeMat-Bulk).

Cell: 5.814 5.814 5.174 Å, 90.00 90.00 90.00°
Element x y z (fractional)
1 Sr 0.000 0.500 0.000
2 Sr 0.500 0.000 0.000
3 Cd 0.000 0.000 0.500
4 In 0.500 0.500 0.500
5 Ir 0.500 0.500 0.000

The calculation puts the formation enthalpy at 0 K at -101 kJ/mol of formula units. As for the space group: No. 123. The value obtained for the mass density is 5.64 g cm⁻³. The density of states at the Fermi level comes out at 2.8 states/eV/f.u. Its total energy is -3.39 eV per atom.

---

Entry 2:
# Sr2CdIn6Ir

A relaxed structure of Sr2CdIn6Ir (PBE, Alexandria via LeMat-Bulk).

Cell: 7.624 7.624 7.624 Å, 60.00 60.00 60.00°
Element x y z (fractional)
1 Sr 0.250 0.250 0.250
2 Sr 0.750 0.750 0.750
3 Cd 0.000 0.000 0.000
4 In 0.257 0.257 0.743
5 In 0.257 0.743 0.257
6 In 0.257 0.743 0.743
7 In 0.743 0.257 0.257
8 In 0.743 0.257 0.743
9 In 0.743 0.743 0.257
10 Ir 0.500 0.500 0.500

The calculation puts the formation enthalpy at 0 K at -31 kJ/mol of formula units. As for the space group: No. 225. The value obtained for the mass density is 6.19 g cm⁻³. The density of states at the Fermi level comes out at 7.7 states/eV/f.u. Its total energy is -2.99 eV per atom.

---

Entry 3:
# SrCd2InIr

A relaxed structure of SrCd2InIr (PBE, Alexandria via LeMat-Bulk).

Cell: 5.266 5.266 5.130 Å, 90.00 90.00 90.00°
Element x y z (fractional)
1 Sr 0.000 0.000 0.000
2 Cd 0.000 0.500 0.500
3 Cd 0.500 0.000 0.500
4 In 0.500 0.500 0.000
5 Ir 0.500 0.500 0.500

The calculation puts the formation enthalpy at 0 K at -84 kJ/mol of formula units. As for the space group: No. 123. The value obtained for the mass density is 7.23 g cm⁻³. The density of states at the Fermi level comes out at 2.2 states/eV/f.u. Its total energy is -3.20 eV per atom.

---

Entry 4:
# TbCdInIr

A relaxed structure of TbCdInIr (PBE, Alexandria via LeMat-Bulk).

Cell: 4.902 4.902 4.902 Å, 60.00 60.00 60.00°
Element x y z (fractional)
1 Tb 0.000 0.000 0.000
2 Cd 0.750 0.750 0.750
3 In 0.500 0.500 0.500
4 Ir 0.250 0.250 0.250

The calculation puts the formation enthalpy at 0 K at -126 kJ/mol of formula units. As for the space group: No. 216. The value obtained for the mass density is 11.53 g cm⁻³. The density of states at the Fermi level comes out at 1.9 states/eV/f.u. Its total energy is -4.61 eV per atom.

---

Entry 5:
# Th3Cd2In3Ir

A relaxed structure of Th3Cd2In3Ir (PBE, Alexandria via LeMat-Bulk).

Cell: 8.630 8.630 3.766 Å, 90.00 90.00 120.00°
Element x y z (fractional)
1 Th 0.000 0.744 0.000
2 Th 0.256 0.256 0.000
3 Th 0.744 0.000 0.000
4 Cd 0.333 0.667 0.000
5 Cd 0.667 0.333 0.000
6 In 0.000 0.400 0.500
7 In 0.400 0.000 0.500
8 In 0.600 0.600 0.500
9 Ir 0.000 0.000 0.500

The calculation puts the formation enthalpy at 0 K at -283 kJ/mol of formula units. As for the space group: No. 189. The value obtained for the mass density is 9.96 g cm⁻³. The density of states at the Fermi level comes out at 6.0 states/eV/f.u. Its total energy is -4.90 eV per atom.

---

Entry 6:
# TlCdIn2Ir

A relaxed structure of TlCdIn2Ir (PBE, Alexandria via LeMat-Bulk).

Cell: 5.167 5.167 5.329 Å, 90.00 90.00 90.00°
Element x y z (fractional)
1 Tl 0.000 0.000 0.000
2 Cd 0.500 0.500 0.000
3 In 0.000 0.500 0.500
4 In 0.500 0.000 0.500
5 Ir 0.500 0.500 0.500

The calculation puts the formation enthalpy at 0 K at -10 kJ/mol of formula units. As for the polymorph energy (0 for the lowest one): 0 meV per atom. As for the space group: No. 123. The value obtained for the mass density is 8.62 g cm⁻³. The density of states at the Fermi level comes out at 1.7 states/eV/f.u. Its total energy is -3.54 eV per atom.

---

Entry 7:
# TlCdIn2Ir

A relaxed structure of TlCdIn2Ir (PBE, Alexandria via LeMat-Bulk).

Cell: 5.224 5.224 5.327 Å, 90.00 90.00 90.00°
Element x y z (fractional)
1 Tl 0.000 0.000 0.000
2 Cd 0.500 0.500 0.000
3 In 0.000 0.500 0.500
4 In 0.500 0.000 0.500
5 Ir 0.000 0.000 0.500

The calculation puts the formation enthalpy at 0 K at 11 kJ/mol of formula units. As for the polymorph energy (0 for the lowest one): 44 meV per atom. As for the space group: No. 123. The value obtained for the mass density is 8.44 g cm⁻³. The density of states at the Fermi level comes out at 1.7 states/eV/f.u. Its total energy is -3.50 eV per atom.

---

Entry 8:
# TlCd2InIr

A relaxed structure of TlCd2InIr (PBE, Alexandria via LeMat-Bulk).

Cell: 5.285 5.285 5.138 Å, 90.00 90.00 90.00°
Element x y z (fractional)
1 Tl 0.000 0.000 0.000
2 Cd 0.000 0.500 0.500
3 Cd 0.500 0.000 0.500
4 In 0.500 0.500 0.000
5 Ir 0.500 0.500 0.500

The calculation puts the formation enthalpy at 0 K at 37 kJ/mol of formula units. As for the space group: No. 123. The value obtained for the mass density is 8.52 g cm⁻³. The density of states at the Fermi level comes out at 1.4 states/eV/f.u. Its total energy is -3.08 eV per atom.

---

Entry 9:
# Tm5CdIn2Ir2

A relaxed structure of Tm5CdIn2Ir2 (PBE, Alexandria via LeMat-Bulk).

Cell: 11.833 11.833 3.594 Å, 90.00 90.00 90.00°
Element x y z (fractional)
1 Tm 0.000 0.500 0.000
2 Tm 0.075 0.207 0.000
3 Tm 0.207 0.925 0.000
4 Tm 0.293 0.425 0.000
5 Tm 0.425 0.707 0.000
6 Tm 0.500 0.000 0.000
7 Tm 0.575 0.293 0.000
8 Tm 0.707 0.575 0.000
9 Tm 0.793 0.075 0.000
10 Tm 0.925 0.793 0.000
11 Cd 0.000 0.000 0.500
12 Cd 0.500 0.500 0.500
13 In 0.175 0.675 0.500
14 In 0.325 0.175 0.500
15 In 0.675 0.825 0.500
16 In 0.825 0.325 0.500
17 Ir 0.131 0.369 0.500
18 Ir 0.369 0.869 0.500
19 Ir 0.631 0.131 0.500
20 Ir 0.869 0.631 0.500

The calculation puts the formation enthalpy at 0 K at -533 kJ/mol of formula units. As for the space group: No. 127. The value obtained for the mass density is 10.37 g cm⁻³. The density of states at the Fermi level comes out at 6.8 states/eV/f.u. Its total energy is -5.20 eV per atom.

---

Entry 10:
# TmCdInIr

A relaxed structure of TmCdInIr (PBE, Alexandria via LeMat-Bulk).

Cell: 4.855 4.855 4.855 Å, 60.00 60.00 60.00°
Element x y z (fractional)
1 Tm 0.000 0.000 0.000
2 Cd 0.250 0.250 0.250
3 In 0.500 0.500 0.500
4 Ir 0.750 0.750 0.750

The calculation puts the formation enthalpy at 0 K at -131 kJ/mol of formula units. As for the space group: No. 216. The value obtained for the mass density is 12.07 g cm⁻³. The density of states at the Fermi level comes out at 1.8 states/eV/f.u. Its total energy is -4.59 eV per atom.

---

Entry 11:
# YCdIn2Ir

A relaxed structure of YCdIn2Ir (PBE, Alexandria via LeMat-Bulk).

Cell: 5.188 5.188 5.306 Å, 90.00 90.00 90.00°
Element x y z (fractional)
1 Y 0.000 0.000 0.000
2 Cd 0.500 0.500 0.000
3 In 0.000 0.500 0.500
4 In 0.500 0.000 0.500
5 Ir 0.000 0.000 0.500

The calculation puts the formation enthalpy at 0 K at -99 kJ/mol of formula units. As for the space group: No. 123. The value obtained for the mass density is 7.25 g cm⁻³. The density of states at the Fermi level comes out at 2.2 states/eV/f.u. Its total energy is -4.55 eV per atom.

---

Entry 12:
# YCdInIr

A relaxed structure of YCdInIr (PBE, Alexandria via LeMat-Bulk).

Cell: 4.897 4.897 4.897 Å, 60.00 60.00 60.00°
Element x y z (fractional)
1 Y 0.000 0.000 0.000
2 Cd 0.750 0.750 0.750
3 In 0.500 0.500 0.500
4 Ir 0.250 0.250 0.250

The calculation puts the formation enthalpy at 0 K at -126 kJ/mol of formula units. As for the space group: No. 216. The value obtained for the mass density is 10.17 g cm⁻³. The density of states at the Fermi level comes out at 1.8 states/eV/f.u. Its total energy is -5.07 eV per atom.

---

Entry 13:
# Y5CdIn2Ir2

A relaxed structure of Y5CdIn2Ir2 (PBE, Alexandria via LeMat-Bulk).

Cell: 11.959 11.959 3.664 Å, 90.00 90.00 90.00°
Element x y z (fractional)
1 Y 0.000 0.500 0.000
2 Y 0.075 0.206 0.000
3 Y 0.206 0.925 0.000
4 Y 0.294 0.425 0.000
5 Y 0.425 0.706 0.000
6 Y 0.500 0.000 0.000
7 Y 0.575 0.294 0.000
8 Y 0.706 0.575 0.000
9 Y 0.794 0.075 0.000
10 Y 0.925 0.794 0.000
11 Cd 0.000 0.000 0.500
12 Cd 0.500 0.500 0.500
13 In 0.175 0.675 0.500
14 In 0.325 0.175 0.500
15 In 0.675 0.825 0.500
16 In 0.825 0.325 0.500
17 Ir 0.132 0.368 0.500
18 Ir 0.368 0.868 0.500
19 Ir 0.632 0.132 0.500
20 Ir 0.868 0.632 0.500

The calculation puts the formation enthalpy at 0 K at -511 kJ/mol of formula units. As for the space group: No. 127. The value obtained for the mass density is 7.42 g cm⁻³. The density of states at the Fermi level comes out at 7.6 states/eV/f.u. Its total energy is -6.17 eV per atom.

---

Entry 14:
# ZnCdIn2Ir

A relaxed structure of ZnCdIn2Ir (PBE, Alexandria via LeMat-Bulk).

Cell: 5.193 5.193 4.922 Å, 90.00 90.00 90.00°
Element x y z (fractional)
1 Zn 0.000 0.000 0.000
2 Cd 0.500 0.500 0.000
3 In 0.000 0.500 0.500
4 In 0.500 0.000 0.500
5 Ir 0.000 0.000 0.500

The calculation puts the formation enthalpy at 0 K at 17 kJ/mol of formula units. As for the space group: No. 123. The value obtained for the mass density is 7.50 g cm⁻³. The density of states at the Fermi level comes out at 2.4 states/eV/f.u. Its total energy is -3.27 eV per atom.

---

Entry 15:
# K3Cd2In4

A relaxed structure of K3Cd2In4 (PBE, Alexandria via LeMat-Bulk).

Cell: 6.542 6.542 9.990 Å, 112.62 112.62 48.19°
Element x y z (fractional)
1 K 0.000 0.000 0.000
2 K 0.297 0.297 0.373
3 K 0.703 0.703 0.627
4 Cd 0.466 0.466 0.771
5 Cd 0.534 0.534 0.229
6 In 0.016 0.016 0.655
7 In 0.271 0.271 0.925
8 In 0.729 0.729 0.075
9 In 0.984 0.984 0.345

The calculation puts the formation enthalpy at 0 K at -90 kJ/mol of formula units. As for the polymorph energy (0 for the lowest one): 0 meV per atom. As for the space group: No. 12. The value obtained for the mass density is 4.60 g cm⁻³. The density of states at the Fermi level comes out at 4.3 states/eV/f.u. Its total energy is -1.89 eV per atom.

---

Entry 16:
# K3Cd5In6

A relaxed structure of K3Cd5In6 (PBE, Alexandria via LeMat-Bulk).

Cell: 5.088 14.768 10.978 Å, 90.00 90.00 90.00°
Element x y z (fractional)
1 K 0.250 0.049 0.248
2 K 0.250 0.451 0.248
3 K 0.250 0.750 0.255
4 K 0.750 0.250 0.745
5 K 0.750 0.549 0.752
6 K 0.750 0.951 0.752
7 Cd 0.250 0.086 0.882
8 Cd 0.250 0.414 0.882
9 Cd 0.250 0.620 0.537
10 Cd 0.250 0.750 0.756
11 Cd 0.250 0.880 0.537
12 Cd 0.750 0.120 0.463
13 Cd 0.750 0.250 0.244
14 Cd 0.750 0.380 0.463
15 Cd 0.750 0.586 0.118
16 Cd 0.750 0.914 0.118
17 In 0.250 0.081 0.603
18 In 0.250 0.250 0.056
19 In 0.250 0.250 0.435
20 In 0.250 0.419 0.603
21 In 0.250 0.614 0.971
22 In 0.250 0.886 0.971
23 In 0.750 0.114 0.029
24 In 0.750 0.386 0.029
25 In 0.750 0.581 0.397
26 In 0.750 0.750 0.565
27 In 0.750 0.750 0.944
28 In 0.750 0.919 0.397

The calculation puts the formation enthalpy at 0 K at -119 kJ/mol of formula units. As for the space group: No. 59. The value obtained for the mass density is 5.51 g cm⁻³. The density of states at the Fermi level comes out at 4.4 states/eV/f.u. Its total energy is -1.82 eV per atom.

---

Entry 17:
# KCdIn2

A relaxed structure of KCdIn2 (PBE, Alexandria via LeMat-Bulk).

Cell: 6.705 6.705 6.705 Å, 149.07 126.86 62.76°
Element x y z (fractional)
1 K 0.000 0.000 0.000
2 Cd 0.500 0.500 0.000
3 In 0.279 0.779 0.500
4 In 0.721 0.221 0.500

The calculation puts the formation enthalpy at 0 K at -3 kJ/mol of formula units. As for the space group: No. 71. The value obtained for the mass density is 5.16 g cm⁻³. The density of states at the Fermi level comes out at 1.4 states/eV/f.u. Its total energy is -1.88 eV per atom.

---

Entry 18:
# K16Cd12In

A relaxed structure of K16Cd12In (PBE, Alexandria via LeMat-Bulk).

Cell: 11.082 11.082 11.178 Å, 106.76 106.76 105.42°
Element x y z (fractional)
1 K 0.000 0.000 0.000
2 K 0.007 0.341 0.584
3 K 0.012 0.012 0.377
4 K 0.319 0.690 0.697
5 K 0.340 0.556 0.965
6 K 0.341 0.007 0.584
7 K 0.364 0.990 0.989
8 K 0.372 0.627 0.357
9 K 0.556 0.340 0.965
10 K 0.578 0.996 0.335
11 K 0.627 0.372 0.357
12 K 0.683 0.683 0.707
13 K 0.690 0.319 0.697
14 K 0.723 0.723 0.313
15 K 0.990 0.364 0.989
16 K 0.996 0.578 0.335
17 Cd 0.014 0.831 0.665
18 Cd 0.027 0.669 0.848
19 Cd 0.135 0.314 0.310
20 Cd 0.152 0.152 0.796
21 Cd 0.180 0.819 0.173
22 Cd 0.292 0.292 0.116
23 Cd 0.314 0.135 0.310
24 Cd 0.669 0.027 0.848
25 Cd 0.681 0.860 0.038
26 Cd 0.819 0.180 0.173
27 Cd 0.831 0.014 0.665
28 Cd 0.860 0.681 0.038
29 In 0.353 0.353 0.580

The calculation puts the formation enthalpy at 0 K at -73 kJ/mol of formula units. As for the space group: No. 8. The value obtained for the mass density is 2.98 g cm⁻³. The density of states at the Fermi level comes out at 18.4 states/eV/f.u. Its total energy is -1.10 eV per atom.

---

Entry 19:
# KCd5In2

A relaxed structure of KCd5In2 (PBE, Alexandria via LeMat-Bulk).

Cell: 7.523 7.523 7.523 Å, 145.17 112.56 78.20°
Element x y z (fractional)
1 K 0.000 0.000 0.000
2 Cd 0.180 0.370 0.811
3 Cd 0.441 0.630 0.811
4 Cd 0.500 0.000 0.500
5 Cd 0.559 0.370 0.189
6 Cd 0.820 0.630 0.189
7 In 0.244 0.744 0.500
8 In 0.756 0.256 0.500

The calculation puts the formation enthalpy at 0 K at -43 kJ/mol of formula units. As for the space group: No. 71. The value obtained for the mass density is 6.28 g cm⁻³. The density of states at the Fermi level comes out at 2.7 states/eV/f.u. Its total energy is -1.45 eV per atom.

---

Entry 20:
# KCd2In8

A relaxed structure of KCd2In8 (PBE, Alexandria via LeMat-Bulk).

Cell: 5.584 5.584 11.369 Å, 90.00 90.00 105.67°
Element x y z (fractional)
1 K 0.000 0.000 0.000
2 Cd 0.000 0.000 0.354
3 Cd 0.000 0.000 0.646
4 In 0.000 0.500 0.211
5 In 0.000 0.500 0.500
6 In 0.000 0.500 0.789
7 In 0.500 0.000 0.211
8 In 0.500 0.000 0.500
9 In 0.500 0.000 0.789
10 In 0.500 0.500 0.354
11 In 0.500 0.500 0.646

The calculation puts the formation enthalpy at 0 K at 24 kJ/mol of formula units. As for the polymorph energy (0 for the lowest one): 0 meV per atom. As for the space group: No. 65. The value obtained for the mass density is 5.75 g cm⁻³. The density of states at the Fermi level comes out at 5.3 states/eV/f.u. Its total energy is -2.23 eV per atom.

---

Entry 21:
# KCd2In

A relaxed structure of KCd2In (PBE, Alexandria via LeMat-Bulk).

Cell: 3.251 5.019 7.381 Å, 90.00 102.46 90.00°
Element x y z (fractional)
1 K 0.000 0.000 0.000
2 Cd 0.516 0.000 0.496
3 Cd 0.656 0.500 0.288
4 In 0.337 0.500 0.703

The calculation puts the formation enthalpy at 0 K at -4 kJ/mol of formula units. As for the space group: No. 6. The value obtained for the mass density is 5.35 g cm⁻³. The density of states at the Fermi level comes out at 1.7 states/eV/f.u. Its total energy is -1.43 eV per atom.

---

Entry 22:
# KCd9In2

A relaxed structure of KCd9In2 (PBE, Alexandria via LeMat-Bulk).

Cell: 10.305 10.305 3.299 Å, 90.00 90.00 120.00°
Element x y z (fractional)
1 K 0.000 0.000 0.000
2 Cd 0.000 0.500 0.000
3 Cd 0.176 0.352 0.500
4 Cd 0.176 0.824 0.500
5 Cd 0.352 0.176 0.500
6 Cd 0.500 0.000 0.000
7 Cd 0.500 0.500 0.000
8 Cd 0.648 0.824 0.500
9 Cd 0.824 0.176 0.500
10 Cd 0.824 0.648 0.500
11 In 0.333 0.667 0.000
12 In 0.667 0.333 0.000

The calculation puts the formation enthalpy at 0 K at 13 kJ/mol of formula units. As for the polymorph energy (0 for the lowest one): 30 meV per atom. As for the space group: No. 191. The value obtained for the mass density is 7.01 g cm⁻³. The density of states at the Fermi level comes out at 4.6 states/eV/f.u. Its total energy is -1.22 eV per atom.